CrMoNF2 | PBE+U | relaxed

Properties
magnetic moment: 7.00 Bohr magnetons per cell
SG: P4/mmm, No. 123
polymorph energy (0 for the lowest one): 0.000 eV/atom

Cell lengths 4.242, 4.242, 4.024 Å; angles 90.00, 90.00, 90.00 degrees
Element x y z (fractional)
Cr (0.000, 0.000, 0.000)
Mo (0.500, 0.500, 0.500)
N (0.500, 0.500, 0.000)
F (0.000, 0.500, 0.500)
F (0.500, 0.000, 0.500)